Crystalline Pm2Al2Pd at its relaxed geometry. Source: Alexandria, functional PBE.

a b c (Å): 4.6183 6.3861 9.0920
angles (deg): 111.18 90.00 111.20
With the nearest neighbours (Å) after each atom.
Fractional positions:
Al1 0.9019 0.8038 0.3350  2 Pd 2.66, 1 Al 2.79
Al2 0.0481 0.0962 0.1581  1 Pd 2.56, 2 Al 2.65-2.79
Al3 0.0981 0.1962 0.6650  2 Pd 2.66, 1 Al 2.79
Al4 0.9519 0.9038 0.8419  1 Pd 2.56, 2 Al 2.65-2.79
Pd1 0.2816 0.5631 0.2663  3 Al 2.56-2.66, 1 Pm 2.78
Pd2 0.7184 0.4369 0.7337  3 Al 2.56-2.66, 1 Pm 2.78
Pm1 0.6433 0.2865 0.0017  1 Pd 2.90, 4 Al 3.14-3.17
Pm2 0.3567 0.7135 0.9983  1 Pd 2.90, 4 Al 3.14-3.17
Pm3 0.3840 0.7679 0.5985  1 Pd 2.78, 2 Al 3.08
Pm4 0.6160 0.2321 0.4015  1 Pd 2.78, 2 Al 3.08

The energy above the most stable polymorph in this dataset comes out at 0 meV per atom. For the magnetic moment, the calculation gives 0.000 Bohr magnetons per cell. For the calculated volume, the calculation gives 23.05 Å³ per atom. The value obtained for the energy of formation from the pure elements is -0.6332 eV per atom.



Crystalline Pm3AlPd3 at its relaxed geometry. Source: Alexandria, functional PBE.

a b c (Å): 5.8187 8.6903 8.6903
angles (deg): 120.00 90.00 90.00
With the nearest neighbours (Å) after each atom.
Fractional positions:
Pm1 0.7500 0.6873 0.6302  5 Pd 2.91-3.00, 1 Al 3.25
Pm2 0.2500 0.6302 0.9429  5 Pd 2.91-3.00, 1 Al 3.25
Pm3 0.2500 0.3127 0.3698  5 Pd 2.91-3.00, 1 Al 3.25
Pm4 0.7500 0.9429 0.3127  5 Pd 2.91-3.00, 1 Al 3.25
Pm5 0.7500 0.3698 0.0571  5 Pd 2.91-3.00, 1 Al 3.25
Pm6 0.2500 0.0571 0.6873  5 Pd 2.91-3.00, 1 Al 3.25
Pd1 0.2500 0.3662 0.0607  1 Al 2.50
Pd2 0.2500 0.9393 0.3055  1 Al 2.50
Pd3 0.7500 0.0607 0.6945  1 Al 2.50
Pd4 0.2500 0.6945 0.6338  1 Al 2.50
Pd5 0.7500 0.3055 0.3662  1 Al 2.50
Pd6 0.7500 0.6338 0.9393  1 Al 2.50
Al1 0.2500 0.6667 0.3333  3 Pd 2.50
Al2 0.7500 0.3333 0.6667  3 Pd 2.50

The energy above the most stable polymorph in this dataset comes out at 244 meV per atom. For the magnetic moment, the calculation gives 0.000 Bohr magnetons per cell. For the calculated volume, the calculation gives 27.18 Å³ per atom. The value obtained for the energy of formation from the pure elements is -0.5545 eV per atom.



Crystalline PmAl12Pd6 at its relaxed geometry. Source: Alexandria, functional PBE.

a b c (Å): 7.1844 7.1844 7.1844
angles (deg): 104.54 104.54 104.54
With the nearest neighbours (Å) after each atom.
Fractional positions:
Al1 0.1495 0.4018 0.4018  3 Pd 2.56-2.62, 4 Al 2.79-2.87
Al2 0.1144 0.8856 0.5000  4 Pd 2.49-2.64, 1 Al 2.60
Al3 0.5982 0.8505 0.5982  3 Pd 2.56-2.62, 4 Al 2.79-2.87
Al4 0.1144 0.5000 0.8856  4 Pd 2.49-2.64, 1 Al 2.60
Al5 0.4018 0.1495 0.4018  3 Pd 2.56-2.62, 4 Al 2.79-2.87
Al6 0.8856 0.5000 0.1144  4 Pd 2.49-2.64, 1 Al 2.60
Al7 0.5000 0.1144 0.8856  4 Pd 2.49-2.64, 1 Al 2.60
Al8 0.5000 0.8856 0.1144  4 Pd 2.49-2.64, 1 Al 2.60
Al9 0.5982 0.5982 0.8505  3 Pd 2.56-2.62, 4 Al 2.79-2.87
Al10 0.4018 0.4018 0.1495  3 Pd 2.56-2.62, 4 Al 2.79-2.87
Al11 0.8505 0.5982 0.5982  3 Pd 2.56-2.62, 4 Al 2.79-2.87
Al12 0.8856 0.1144 0.5000  4 Pd 2.49-2.64, 1 Al 2.60
Pd1 0.7098 0.2795 0.2795  7 Al 2.49-2.64
Pd2 0.7205 0.2902 0.7205  7 Al 2.49-2.64
Pd3 0.7205 0.7205 0.2902  7 Al 2.49-2.64
Pd4 0.2795 0.2795 0.7098  7 Al 2.49-2.64
Pd5 0.2902 0.7205 0.7205  7 Al 2.49-2.64
Pd6 0.2795 0.7098 0.2795  7 Al 2.49-2.64
Pm1 0.0000 0.0000 0.0000  6 Al 3.24

For the magnetic moment, the calculation gives 0.000 Bohr magnetons per cell. For the calculated volume, the calculation gives 17.23 Å³ per atom. The value obtained for the energy of formation from the pure elements is -0.6159 eV per atom.



Crystalline PmAl2Pd at its relaxed geometry. Source: Alexandria, functional PBE.

a b c (Å): 4.5717 4.1937 4.1937
angles (deg): 90.00 90.00 90.00
With the nearest neighbours (Å) after each atom.
Fractional positions:
Al1 0.0000 0.5000 0.0000  4 Al 2.97, 4 Pm 3.10, 4 Pd 3.10
Al2 0.0000 0.0000 0.5000  4 Al 2.97, 4 Pm 3.10, 4 Pd 3.10
Pm1 0.5000 0.0000 0.0000  4 Pd 2.97, 8 Al 3.10
Pd1 0.5000 0.5000 0.5000  4 Pm 2.97, 8 Al 3.10

The energy above the most stable polymorph in this dataset comes out at 296 meV per atom. For the magnetic moment, the calculation gives 0.000 Bohr magnetons per cell. For the calculated volume, the calculation gives 20.10 Å³ per atom. The value obtained for the energy of formation from the pure elements is -0.4574 eV per atom.



Crystalline PmAl9Pd2 at its relaxed geometry. Source: Alexandria, functional PBE.

a b c (Å): 7.2196 8.3998 8.3998
angles (deg): 79.36 64.55 64.55
With the nearest neighbours (Å) after each atom.
Fractional positions:
Al1 0.6785 0.1753 0.5801  2 Pd 2.61-2.70, 7 Al 2.62-2.91
Al2 0.0086 0.6753 0.9199  2 Pd 2.61-2.70, 7 Al 2.62-2.91
Al3 0.0715 0.3247 0.9199  2 Pd 2.61-2.70, 7 Al 2.62-2.91
Al4 0.7414 0.5801 0.8247  2 Pd 2.61-2.70, 7 Al 2.62-2.91
Al5 0.7414 0.8247 0.5801  2 Pd 2.61-2.70, 7 Al 2.62-2.91
Al6 0.4339 0.8247 0.4199  2 Pd 2.61-2.70, 7 Al 2.62-2.91
Al7 0.0086 0.9199 0.6753  2 Pd 2.61-2.70, 7 Al 2.62-2.91
Al8 0.6038 0.0801 0.3247  2 Pd 2.61-2.70, 7 Al 2.62-2.91
Al9 0.4339 0.4199 0.8247  2 Pd 2.61-2.70, 7 Al 2.62-2.91
Al10 0.3161 0.6753 0.0801  2 Pd 2.61-2.70, 7 Al 2.62-2.91
Al11 0.1462 0.4199 0.1753  2 Pd 2.61-2.70, 7 Al 2.62-2.91
Al12 0.6038 0.3247 0.0801  2 Pd 2.61-2.70, 7 Al 2.62-2.91
Al13 0.6785 0.5801 0.1753  2 Pd 2.61-2.70, 7 Al 2.62-2.91
Al14 0.7500 0.5000 0.5000  4 Pd 2.83, 8 Al 2.90
Al15 0.1462 0.1753 0.4199  2 Pd 2.61-2.70, 7 Al 2.62-2.91
Al16 0.0715 0.9199 0.3247  2 Pd 2.61-2.70, 7 Al 2.62-2.91
Al17 0.3161 0.0801 0.6753  2 Pd 2.61-2.70, 7 Al 2.62-2.91
Al18 0.0000 0.0000 0.0000  4 Pd 2.83, 8 Al 2.90
Pd1 0.8750 0.2500 0.7500  10 Al 2.61-2.83
Pd2 0.3750 0.7500 0.7500  10 Al 2.61-2.83
Pd3 0.8750 0.7500 0.2500  10 Al 2.61-2.83
Pd4 0.8750 0.2500 0.2500  10 Al 2.61-2.83
Pm1 0.5000 0.0000 0.0000  18 Al 3.36-3.61
Pm2 0.2500 0.5000 0.5000  18 Al 3.36-3.61

For the magnetic moment, the calculation gives 0.000 Bohr magnetons per cell. For the calculated volume, the calculation gives 17.30 Å³ per atom. The value obtained for the energy of formation from the pure elements is -0.4413 eV per atom.



Crystalline PmAl5Pd7 at its relaxed geometry. Source: Alexandria, functional PBE.

a b c (Å): 5.3335 6.8330 6.8330
angles (deg): 82.64 67.05 67.05
With the nearest neighbours (Å) after each atom.
Fractional positions:
Al1 0.7293 0.7699 0.7699  6 Pd 2.65-2.82, 4 Al 2.71-2.72
Al2 0.5002 0.4868 0.0075  7 Pd 2.54-2.79, 3 Al 2.64-2.71
Al3 0.0058 0.0074 0.4866  7 Pd 2.54-2.78, 3 Al 2.64-2.72
Al4 0.5002 0.0075 0.4868  7 Pd 2.54-2.79, 3 Al 2.64-2.71
Al5 0.0058 0.4866 0.0074  7 Pd 2.54-2.78, 3 Al 2.64-2.72
Pd1 0.9879 0.3540 0.6704  5 Al 2.63-2.77, 2 Pd 2.86-2.87
Pd2 0.5140 0.1914 0.7809  5 Al 2.54-2.66, 1 Pd 2.82
Pd3 0.6542 0.3464 0.3464  4 Al 2.69, 5 Pd 2.81-2.93, 1 Pm 3.01
Pd4 0.3322 0.6671 0.6671  6 Al 2.78-2.82, 3 Pd 2.81-3.10, 1 Pm 2.95
Pd5 0.2724 0.2279 0.2279  4 Al 2.54, 2 Pd 2.82
Pd6 0.5140 0.7809 0.1914  5 Al 2.54-2.66, 1 Pd 2.82
Pd7 0.9879 0.6704 0.3540  5 Al 2.63-2.77, 2 Pd 2.86-2.87
Pm1 0.9961 0.0037 0.0037  8 Pd 2.95-3.25

For the magnetic moment, the calculation gives 0.000 Bohr magnetons per cell. For the calculated volume, the calculation gives 16.24 Å³ per atom. The value obtained for the energy of formation from the pure elements is -0.7935 eV per atom.



Crystalline Pm3Al2Pd3 at its relaxed geometry. Source: Alexandria, functional PBE.

a b c (Å): 5.6889 8.3924 8.3924
angles (deg): 120.00 90.00 90.00
With the nearest neighbours (Å) after each atom.
Fractional positions:
Al1 0.5000 0.3333 0.6667  2 Al 2.84, 6 Pd 2.92
Al2 0.0000 0.3333 0.6667  2 Al 2.84, 6 Pd 2.92
Al3 0.5000 0.6667 0.3333  2 Al 2.84, 6 Pd 2.92
Al4 0.0000 0.6667 0.3333  2 Al 2.84, 6 Pd 2.92
Pm1 0.7500 0.0000 0.2653  5 Pd 2.77-3.07
Pm2 0.2500 0.0000 0.7347  5 Pd 2.77-3.07
Pm3 0.2500 0.2653 0.2653  5 Pd 2.77-3.07
Pm4 0.2500 0.7347 0.0000  5 Pd 2.77-3.07
Pm5 0.7500 0.7347 0.7347  5 Pd 2.77-3.07
Pm6 0.7500 0.2653 0.0000  5 Pd 2.77-3.07
Pd1 0.7500 0.4044 0.4044  5 Pm 2.77-3.07, 4 Al 2.92
Pd2 0.7500 0.0000 0.5956  5 Pm 2.77-3.07, 4 Al 2.92
Pd3 0.2500 0.4044 0.0000  5 Pm 2.77-3.07, 4 Al 2.92
Pd4 0.2500 0.5956 0.5956  5 Pm 2.77-3.07, 4 Al 2.92
Pd5 0.2500 0.0000 0.4044  5 Pm 2.77-3.07, 4 Al 2.92
Pd6 0.7500 0.5956 0.0000  5 Pm 2.77-3.07, 4 Al 2.92

The energy above the most stable polymorph in this dataset comes out at 77 meV per atom. For the magnetic moment, the calculation gives 0.000 Bohr magnetons per cell. For the calculated volume, the calculation gives 21.69 Å³ per atom. The value obtained for the energy of formation from the pure elements is -0.7161 eV per atom.



Crystalline Pm4AlPd3 at its relaxed geometry. Source: Alexandria, functional PBE.

a b c (Å): 3.9128 4.5362 11.1924
angles (deg): 90.00 90.00 90.00
With the nearest neighbours (Å) after each atom.
Fractional positions:
Pm1 0.5000 0.0000 0.6347  7 Pd 3.05-3.25
Pm2 0.0000 0.0000 0.1460  3 Pd 3.07-3.16, 4 Al 3.11
Pm3 0.5000 0.5000 0.3669  6 Pd 3.05-3.13, 1 Al 3.32
Pm4 0.0000 0.5000 0.8523  5 Pd 2.99-3.10, 2 Al 3.13
Pd1 0.0000 0.5000 0.5851  2 Pd 2.93, 7 Pm 2.99-3.13
Pd2 0.5000 0.0000 0.9248  2 Al 2.79, 4 Pm 3.10
Pd3 0.0000 0.0000 0.4201  2 Pd 2.93, 7 Pm 3.05-3.10
Al1 0.5000 0.5000 0.0701  2 Pd 2.79, 4 Pm 3.11

For the magnetic moment, the calculation gives 0.000 Bohr magnetons per cell. For the calculated volume, the calculation gives 24.83 Å³ per atom. The value obtained for the energy of formation from the pure elements is -0.6967 eV per atom.



Crystalline Pm3Al4Pd4 at its relaxed geometry. Source: Alexandria, functional PBE.

a b c (Å): 6.7210 6.7210 6.7210
angles (deg): 109.47 109.47 109.47
With the nearest neighbours (Å) after each atom.
Fractional positions:
Pm1 0.5000 0.0000 0.5000  4 Pd 3.18, 4 Al 3.21
Pm2 0.5000 0.5000 0.0000  4 Pd 3.18, 4 Al 3.21
Pm3 0.0000 0.5000 0.5000  4 Pd 3.18, 4 Al 3.21
Al1 0.0000 0.0000 0.2577  4 Pd 2.43-2.57
Al2 0.2577 0.0000 0.0000  4 Pd 2.43-2.57
Al3 0.7423 0.7423 0.7423  4 Pd 2.43-2.57
Al4 0.0000 0.2577 0.0000  4 Pd 2.43-2.57
Pd1 0.3812 0.3812 0.3812  4 Al 2.43-2.57
Pd2 0.0000 0.6188 0.0000  4 Al 2.43-2.57
Pd3 0.0000 0.0000 0.6188  4 Al 2.43-2.57
Pd4 0.6188 0.0000 0.0000  4 Al 2.43-2.57

The energy above the most stable polymorph in this dataset comes out at 114 meV per atom. For the magnetic moment, the calculation gives 0.000 Bohr magnetons per cell. For the calculated volume, the calculation gives 21.25 Å³ per atom. The value obtained for the energy of formation from the pure elements is -0.7261 eV per atom.



Crystalline Pm2Al3Pd at its relaxed geometry. Source: Alexandria, functional PBE.

a b c (Å): 5.6899 5.6899 8.8226
angles (deg): 90.00 90.00 120.00
With the nearest neighbours (Å) after each atom.
Fractional positions:
Al1 0.1652 0.8348 0.2500  2 Pd 2.74, 4 Al 2.82-2.87
Al2 0.1652 0.3303 0.2500  2 Pd 2.74, 4 Al 2.82-2.87
Al3 0.8348 0.6697 0.7500  2 Pd 2.74, 4 Al 2.82-2.87
Al4 0.3303 0.1652 0.7500  2 Pd 2.74, 4 Al 2.82-2.87
Al5 0.6697 0.8348 0.2500  2 Pd 2.74, 4 Al 2.82-2.87
Al6 0.8348 0.1652 0.7500  2 Pd 2.74, 4 Al 2.82-2.87
Pd1 0.0000 0.0000 0.0000  6 Al 2.74
Pd2 0.0000 0.0000 0.5000  6 Al 2.74
Pm1 0.6667 0.3333 0.4300  4 Pm 3.18-3.51, 9 Al 3.26-3.27, 3 Pd 3.34
Pm2 0.6667 0.3333 0.0700  4 Pm 3.18-3.51, 9 Al 3.26-3.27, 3 Pd 3.34
Pm3 0.3333 0.6667 0.9300  4 Pm 3.18-3.51, 9 Al 3.26-3.27, 3 Pd 3.34
Pm4 0.3333 0.6667 0.5700  4 Pm 3.18-3.51, 9 Al 3.26-3.27, 3 Pd 3.34

For the magnetic moment, the calculation gives 0.000 Bohr magnetons per cell. For the calculated volume, the calculation gives 20.61 Å³ per atom. The value obtained for the energy of formation from the pure elements is -0.6518 eV per atom.



Number 1: DOS(E_F) 2.14 states/eV/f.u.. Number 2: DOS(E_F) 4.40 states/eV/f.u.. Number 3: DOS(E_F) 6.22 states/eV/f.u.. Number 4: DOS(E_F) 3.60 states/eV/f.u.. Number 5: DOS(E_F) 3.10 states/eV/f.u.. Number 6: DOS(E_F) 5.09 states/eV/f.u.. Number 7: DOS(E_F) 4.98 states/eV/f.u.. Number 8: DOS(E_F) 5.48 states/eV/f.u.. Number 9: DOS(E_F) 13.51 states/eV/f.u.. Number 10: DOS(E_F) 4.86 states/eV/f.u..